## TiMoSN2 (PBE-GGA)

Data for a relaxed structure of TiMoSN2. Values from VASP.

Cell and atoms, written as Quantum ESPRESSO input:
```
&SYSTEM
  ibrav = 0, nat = 5, ntyp = 4
/
ATOMIC_SPECIES
Ti 47.87 Ti.upf
Mo 95.94 Mo.upf
S 32.06 S.upf
N 14.01 N.upf
CELL_PARAMETERS angstrom
3.867 0.000 0.000
0.000 3.867 0.000
0.000 0.000 4.838
ATOMIC_POSITIONS crystal
Ti 0.000 0.000 0.000
Mo 0.500 0.500 0.500
S 0.000 0.000 0.500
N 0.000 0.500 0.000
N 0.500 0.000 0.000
```

Computed properties:
E above lowest polymorph: 312 meV/atom
Uncorrected formation energy: 47 kJ per mole of atoms
Magnetization: 2.62 Bohr magnetons per cell
Energy: -37.07 eV for the cell shown